Here is Ho2WO6 after structural relaxation from the Alexandria database. Energies are from PBE with a Hubbard U.

The structure in POSCAR format:
```
Ho2WO6
1.0
4.9946 0.0000 0.0000
0.0000 4.9946 0.0000
0.0000 0.0000 9.9688
O Ho W
12 4 2
Cartesian
3.4211 3.4211 6.4461
0.9238 4.0709 8.5071
3.4211 3.4211 3.5227
1.1077 3.8869 4.9844
4.0709 0.9238 1.4617
3.6051 3.6051 0.0000
3.8869 1.1077 4.9844
4.0709 0.9238 8.5071
0.9238 4.0709 1.4617
1.5735 1.5735 6.4461
1.5735 1.5735 3.5227
1.3896 1.3896 0.0000
0.0000 0.0000 3.3187
2.4973 2.4973 1.6657
0.0000 0.0000 6.6501
2.4973 2.4973 8.3031
2.4973 2.4973 4.9844
0.0000 0.0000 0.0000
```

Computed properties:
Electronic total energy: -8.074 eV/atom
M_tot: 0.000 Bohr magnetons per cell
Energy above the most stable polymorph in this dataset: 0.47 eV per formula unit
Crystal system: tetragonal